The following is a PBE calculation of a relaxed structure of NbCo2TcH, from Alexandria.

```
5
Lattice="3.745 0.000 0.000 0.000 3.745 0.000 0.000 0.000 3.913" Properties=species:S:1:pos:R:3 pbc="T T T"
Nb 0.000 0.000 0.000
Co 0.000 1.872 1.956
Co 1.872 0.000 1.956
Tc 1.872 1.872 0.000
H 1.872 1.872 1.956
```

Results
symmetry: No. 123
density: 9.38 Mg/m³
excess energy over the best structure of this formula in the dataset: 0.0 meV per atom